# 1
! PBE ScTlGe, optimized geometry; values from VASP
! * DOS(E_F): 1.13 states/eV/f.u.
! * magnetization: 0.00 Bohr magnetons per cell
! * DFT formation energy: -12 kJ per mole of atoms
! * E_tot: -4.56 eV per atom
&SYSTEM
  ibrav = 0, nat = 6, ntyp = 3
/
ATOMIC_SPECIES
Sc 44.96 Sc.upf
Tl 204.38 Tl.upf
Ge 72.64 Ge.upf
ATOMIC_POSITIONS crystal
Sc 0.083 0.083 0.083
Sc 0.917 0.917 0.917
Tl 0.361 0.361 0.361
Tl 0.639 0.639 0.639
Ge 0.188 0.188 0.188
Ge 0.812 0.812 0.812
CELL_PARAMETERS angstrom
2.158 1.246 9.000
-2.158 1.246 9.000
0.000 -2.492 9.000

***

# 2
! PBE BeAg2Mo, optimized geometry; values from VASP
! * DOS(E_F): 1.76 states/eV/f.u.
! * magnetization: 0.00 Bohr magnetons per cell
! * DFT formation energy: 19 kJ per mole of atoms
! * E_tot: -4.87 eV per atom
&SYSTEM
  ibrav = 0, nat = 4, ntyp = 3
/
ATOMIC_SPECIES
Be 9.01 Be.upf
Ag 107.87 Ag.upf
Mo 95.94 Mo.upf
ATOMIC_POSITIONS crystal
Be 0.000 0.000 0.000
Ag 0.000 0.000 0.498
Ag 0.500 0.500 0.793
Mo 0.500 0.500 0.210
CELL_PARAMETERS angstrom
2.770 0.000 0.000
0.000 2.771 0.000
-0.009 0.000 7.684

***

# 3
! PBE Tm2InNi4Ge3, optimized geometry; values from VASP
! * DOS(E_F): 5.75 states/eV/f.u.
! * magnetization: 0.00 Bohr magnetons per cell
! * DFT formation energy: -56 kJ per mole of atoms
! * E_tot: -5.44 eV per atom
&SYSTEM
  ibrav = 0, nat = 10, ntyp = 4
/
ATOMIC_SPECIES
Tm 168.93 Tm.upf
In 114.82 In.upf
Ni 58.69 Ni.upf
Ge 72.64 Ge.upf
ATOMIC_POSITIONS crystal
Tm 0.000 0.500 0.236
Tm 0.500 0.000 0.764
In 0.000 0.000 0.500
Ni 0.000 0.000 0.000
Ni 0.000 0.500 0.649
Ni 0.500 0.000 0.351
Ni 0.500 0.500 0.000
Ge 0.000 0.500 0.877
Ge 0.500 0.000 0.123
Ge 0.500 0.500 0.500
CELL_PARAMETERS angstrom
4.073 0.000 0.000
0.000 4.073 0.000
0.000 0.000 10.032

***

# 4
! PBE ZrIr2Pb, optimized geometry; values from VASP
! * DOS(E_F): 0.86 states/eV/f.u.
! * magnetization: 0.00 Bohr magnetons per cell
! * DFT formation energy: -28 kJ per mole of atoms
! * E_tot: -7.79 eV per atom
&SYSTEM
  ibrav = 0, nat = 4, ntyp = 3
/
ATOMIC_SPECIES
Zr 91.22 Zr.upf
Ir 192.22 Ir.upf
Pb 207.20 Pb.upf
ATOMIC_POSITIONS crystal
Zr 0.000 0.000 0.000
Ir 0.250 0.750 0.500
Ir 0.750 0.250 0.500
Pb 0.500 0.500 0.000
CELL_PARAMETERS angstrom
-2.148 2.148 3.935
2.148 -2.148 3.935
2.148 2.148 -3.935

***

# 5
! PBE Pm2Y2Co2Cl, optimized geometry; values from VASP
! * DOS(E_F): 6.53 states/eV/f.u.
! * uncorrected formation energy: -483 meV/atom
! * magnetization: 0.00 Bohr magnetons per cell
! * E_tot: -5.98 eV per atom
&SYSTEM
  ibrav = 0, nat = 7, ntyp = 4
/
ATOMIC_SPECIES
Pm 145.00 Pm.upf
Y 88.91 Y.upf
Co 58.93 Co.upf
Cl 35.45 Cl.upf
ATOMIC_POSITIONS crystal
Pm 0.033 0.033 0.234
Pm 0.967 0.967 0.766
Y 0.271 0.271 0.181
Y 0.729 0.729 0.819
Co 0.400 0.400 0.980
Co 0.600 0.600 0.020
Cl 0.500 0.500 0.500
CELL_PARAMETERS angstrom
6.783 -1.856 0.000
6.783 1.856 0.000
-4.586 0.000 7.255

***

# 6
! PBE AsN2ClF, optimized geometry; values from VASP
! * DOS(E_F): 1.54 states/eV/f.u.
! * uncorrected formation energy: 1811 meV/atom
! * magnetization: 0.00 Bohr magnetons per cell
! * energy above the lowest structure with this stoichiometry: 780 meV/atom
! * E_tot: -3.19 eV per atom
&SYSTEM
  ibrav = 0, nat = 5, ntyp = 4
/
ATOMIC_SPECIES
As 74.92 As.upf
N 14.01 N.upf
Cl 35.45 Cl.upf
F 19.00 F.upf
ATOMIC_POSITIONS crystal
As 0.000 0.000 0.000
N 0.000 0.500 0.500
N 0.500 0.000 0.500
Cl 0.500 0.500 0.500
F 0.500 0.500 0.000
CELL_PARAMETERS angstrom
3.984 0.000 0.000
0.000 3.984 0.000
0.000 0.000 3.928

***

# 7
! PBE HfSnN3, optimized geometry; values from VASP
! * DOS(E_F): 1.62 states/eV/f.u.
! * uncorrected formation energy: 392 meV/atom
! * magnetization: 3.00 Bohr magnetons per cell
! * E_tot: -7.39 eV per atom
&SYSTEM
  ibrav = 0, nat = 5, ntyp = 3
/
ATOMIC_SPECIES
Hf 178.49 Hf.upf
Sn 118.71 Sn.upf
N 14.01 N.upf
ATOMIC_POSITIONS crystal
Hf 0.000 0.000 0.000
Sn 0.500 0.500 0.500
N 0.000 0.000 0.500
N 0.000 0.500 0.000
N 0.500 0.000 0.000
CELL_PARAMETERS angstrom
4.221 0.000 0.000
0.000 4.221 0.000
0.000 0.000 4.221

***

# 8
! PBE AlTcRu, optimized geometry; values from VASP
! * DOS(E_F): 1.86 states/eV/f.u.
! * magnetization: 0.00 Bohr magnetons per cell
! * energy above the lowest structure with this stoichiometry: 356 meV/atom
! * DFT formation energy: -4 kJ per mole of atoms
! * E_tot: -7.84 eV per atom
&SYSTEM
  ibrav = 0, nat = 3, ntyp = 3
/
ATOMIC_SPECIES
Al 26.98 Al.upf
Tc 98.00 Tc.upf
Ru 101.07 Ru.upf
ATOMIC_POSITIONS crystal
Al 0.000 0.000 0.000
Tc 0.500 0.500 0.500
Ru 0.250 0.250 0.250
CELL_PARAMETERS angstrom
0.000 2.921 2.921
2.921 0.000 2.921
2.921 2.921 0.000

***

# 9
! PBE RbZrP2O, optimized geometry; values from VASP
! * DOS(E_F): 1.99 states/eV/f.u.
! * uncorrected formation energy: 1246 meV/atom
! * magnetization: 0.00 Bohr magnetons per cell
! * energy above the lowest structure with this stoichiometry: 1946 meV/atom
! * E_tot: -3.81 eV per atom
&SYSTEM
  ibrav = 0, nat = 5, ntyp = 4
/
ATOMIC_SPECIES
Rb 85.47 Rb.upf
Zr 91.22 Zr.upf
P 30.97 P.upf
O 16.00 O.upf
ATOMIC_POSITIONS crystal
Rb 0.000 0.000 0.000
Zr 0.500 0.500 0.500
P 0.000 0.500 0.000
P 0.500 0.000 0.000
O 0.000 0.000 0.500
CELL_PARAMETERS angstrom
5.092 0.000 0.000
0.000 5.092 0.000
0.000 0.000 4.138

***

# 10
! PBE Cd6AgAu2, optimized geometry; values from VASP
! * DOS(E_F): 1.42 states/eV/f.u.
! * magnetization: 0.00 Bohr magnetons per cell
! * energy above the lowest structure with this stoichiometry: 0 meV/atom
! * DFT formation energy: -9 kJ per mole of atoms
! * E_tot: -1.75 eV per atom
&SYSTEM
  ibrav = 0, nat = 9, ntyp = 3
/
ATOMIC_SPECIES
Cd 112.41 Cd.upf
Ag 107.87 Ag.upf
Au 196.97 Au.upf
ATOMIC_POSITIONS crystal
Cd 0.003 0.003 0.323
Cd 0.334 0.334 0.445
Cd 0.337 0.337 0.105
Cd 0.663 0.663 0.895
Cd 0.666 0.666 0.555
Cd 0.997 0.997 0.677
Ag 0.000 0.000 0.000
Au 0.326 0.326 0.777
Au 0.674 0.674 0.223
CELL_PARAMETERS angstrom
4.559 -2.251 0.000
4.559 2.251 0.000
-1.882 0.000 8.839

***

# 11
! PBE Ti3Sb2Pd, optimized geometry; values from VASP
! * DOS(E_F): 4.99 states/eV/f.u.
! * uncorrected formation energy: -459 meV/atom
! * magnetization: 0.00 Bohr magnetons per cell
! * E_tot: -6.65 eV per atom
&SYSTEM
  ibrav = 0, nat = 24, ntyp = 3
/
ATOMIC_SPECIES
Ti 47.87 Ti.upf
Sb 121.76 Sb.upf
Pd 106.42 Pd.upf
ATOMIC_POSITIONS crystal
Ti 0.058 0.250 0.121
Ti 0.177 0.750 0.610
Ti 0.235 0.750 0.294
Ti 0.265 0.250 0.794
Ti 0.323 0.250 0.110
Ti 0.442 0.750 0.621
Ti 0.558 0.250 0.379
Ti 0.677 0.750 0.890
Ti 0.735 0.750 0.206
Ti 0.765 0.250 0.706
Ti 0.823 0.250 0.390
Ti 0.942 0.750 0.879
Sb 0.024 0.250 0.708
Sb 0.180 0.750 0.989
Sb 0.320 0.250 0.489
Sb 0.476 0.750 0.208
Sb 0.524 0.250 0.792
Sb 0.680 0.750 0.511
Sb 0.820 0.250 0.011
Sb 0.976 0.750 0.292
Pd 0.079 0.250 0.428
Pd 0.421 0.750 0.928
Pd 0.579 0.250 0.072
Pd 0.921 0.750 0.572
CELL_PARAMETERS angstrom
11.074 0.000 0.000
0.000 4.139 0.000
0.000 0.000 9.763

***

# 12
! PBE NaMgTcGe2, optimized geometry; values from VASP
! * DOS(E_F): 1.17 states/eV/f.u.
! * magnetization: 0.00 Bohr magnetons per cell
! * DFT formation energy: 1 kJ per mole of atoms
! * E_tot: -4.49 eV per atom
&SYSTEM
  ibrav = 0, nat = 5, ntyp = 4
/
ATOMIC_SPECIES
Na 22.99 Na.upf
Mg 24.30 Mg.upf
Tc 98.00 Tc.upf
Ge 72.64 Ge.upf
ATOMIC_POSITIONS crystal
Na 0.000 0.000 0.000
Mg 0.500 0.500 0.000
Tc 0.500 0.500 0.500
Ge 0.000 0.500 0.500
Ge 0.500 0.000 0.500
CELL_PARAMETERS angstrom
4.812 0.000 0.000
0.000 4.812 0.000
0.000 0.000 5.113